Record 1
Crystalline PrGaGe2Ru2 at its relaxed geometry. Source: the Alexandria database, functional GGA-PBE.

Cell lengths 4.564, 4.564, 5.657 Å; angles 90.00, 90.00, 90.00 degrees
Site moments in Bohr magnetons follow the coordinates.
Positions (direct):
Pr: 0.000 0.000 0.500  0.03
Ga: 0.000 0.000 0.000  0.00
Ge: 0.500 0.500 0.738  0.01
Ge: 0.500 0.500 0.262  0.01
Ru: 0.500 0.000 0.000  0.23
Ru: 0.000 0.500 0.000  0.23

Properties
Calculated density (g cm⁻³): 7.86
DOS at the Fermi energy (states/eV per cell): 6.367
VASP energy (Ry per atom): -0.446
Energy of formation from the pure elements (kJ per mole of atoms): -12.9
Space-group type: P4/mmm

=====

Record 2
Crystalline LiP3S at its relaxed geometry. Source: the Alexandria database, functional GGA-PBE.

Cell lengths 4.330, 4.330, 4.330 Å; angles 90.00, 90.00, 90.00 degrees
Positions (direct):
P: 0.000 0.500 0.000
P: 0.000 0.000 0.500
P: 0.500 0.000 0.000
S: 0.500 0.500 0.500
Li: 0.000 0.000 0.000

Properties
Energy relative to the lowest polymorph listed for this composition (meV/atom): 346
Calculated density (g cm⁻³): 2.70
Formation energy from raw total energies (eV per atom): 1.067
DOS at the Fermi energy (states/eV per cell): 4.309
VASP energy (Ry per atom): -0.249
Space-group type: Pm-3m

=====

Record 3
Crystalline CaIrI2O at its relaxed geometry. Source: the Alexandria database, functional GGA-PBE.

Cell lengths 6.004, 6.004, 4.072 Å; angles 90.00, 90.00, 90.00 degrees
Site moments in Bohr magnetons follow the coordinates.
Positions (direct):
I: 0.000 0.500 0.000  0.14
I: 0.500 0.000 0.000  0.14
Ca: 0.000 0.000 0.000  0.02
Ir: 0.500 0.500 0.500  1.98
O: 0.000 0.000 0.500  0.53

Properties
Energy relative to the lowest polymorph listed for this composition (meV/atom): 926
Calculated density (g cm⁻³): 5.68
Formation energy from raw total energies (eV per atom): 0.347
DOS at the Fermi energy (states/eV per cell): 6.195
VASP energy (Ry per atom): -0.253
Space-group type: P4/mmm

=====

Record 4
Crystalline ErTiGa at its relaxed geometry. Source: the Alexandria database, functional GGA-PBE.

Cell lengths 4.172, 7.275, 7.275 Å; angles 120.00, 90.00, 90.00 degrees
Site moments in Bohr magnetons follow the coordinates.
Positions (direct):
Ga: 0.500 0.667 0.333  0.00
Ga: 0.500 0.333 0.667  0.00
Ga: 0.000 0.000 0.000  -0.03
Er: 0.000 0.584 0.584  0.34
Er: 0.000 0.000 0.416  0.34
Er: 0.000 0.416 0.000  0.34
Ti: 0.500 0.000 0.764  0.93
Ti: 0.500 0.764 0.000  0.93
Ti: 0.500 0.236 0.236  0.93

Properties
Energy relative to the lowest polymorph listed for this composition (meV/atom): 65
Calculated density (g cm⁻³): 7.42
DOS at the Fermi energy (states/eV per cell): 8.717
VASP energy (Ry per atom): -0.405
Energy of formation from the pure elements (kJ per mole of atoms): -33.2
Space-group type: P-62m